# La2Nd8Mg, relaxed, DFT GGA-PBE
# E_form = 0.01 eV/atom
# offset from the most stable computed form = 0 meV per atom
# calculated volume = 761.0 Å³/cell
# final energy = -4.4951 eV/atom
# DOS at the Fermi energy = 33.48 states/eV/cell
data_La2Nd8Mg
_chemical_formula_sum 'La4 Nd16 Mg2'
_symmetry_space_group_name_H-M 'C 1 2/m 1'
_symmetry_Int_Tables_number 12
_cell_length_a 18.593
_cell_length_b 5.205
_cell_length_c 8.154
_cell_angle_alpha 90.00
_cell_angle_beta 105.37
_cell_angle_gamma 90.00
loop_
_symmetry_equiv_pos_as_xyz
'x,y,z'
'-x,-y,-z'
'-x,y,-z'
'x,-y,z'
'x+1/2,y+1/2,z'
'-x+1/2,-y+1/2,-z'
'-x+1/2,y+1/2,-z'
'x+1/2,-y+1/2,z'
loop_
_atom_site_label
_atom_site_type_symbol
_atom_site_fract_x
_atom_site_fract_y
_atom_site_fract_z
_atom_site_occupancy
La1 La 0.226 0.000 0.136 1
Nd1 Nd 0.044 0.000 0.224 1
Nd2 Nd 0.089 0.500 0.947 1
Nd3 Nd 0.136 0.000 0.678 1
Nd4 Nd 0.179 0.500 0.408 1
Mg1 Mg 0.000 0.500 0.500 1